Record 1
DFT (meta-GGA SCAN) results for a PBEsol-optimized structure of CaTcSe2.

Computed properties:
- ΔE_f (raw): -0.8550 eV/atom
- Energy relative to the lowest polymorph listed for this composition: 0 meV/atom

Cell and atoms, written as extended XYZ:
```
4
Lattice="1.9899 1.1489 5.7026 -1.9899 1.1489 5.7026 0.0000 -2.2978 5.7026" Properties=species:S:1:pos:R:3 pbc="T T T"
Ca 0.0000 0.0000 0.0000
Tc 0.0000 0.0000 8.5539
Se 0.0000 0.0000 3.9657
Se 0.0000 0.0000 13.1421
```

Record 2
DFT (meta-GGA SCAN) results for a PBEsol-optimized structure of CdOs.

Computed properties:
- Calculated total energy: -3.702 Ry/atom

Cell and atoms, written as extended XYZ:
```
4
Lattice="0.0000 3.1853 3.1853 3.1853 0.0000 3.1853 3.1853 3.1853 0.0000" Properties=species:S:1:pos:R:3 pbc="T T T"
Cd 0.7963 0.7963 0.7963
Cd 5.5743 5.5743 5.5743
Os 2.3890 2.3890 2.3890
Os 3.9816 3.9816 3.9816
```

Record 3
DFT (meta-GGA SCAN) results for a PBEsol-optimized structure of CsHg3Au.

Computed properties:
- Energy relative to the lowest polymorph listed for this composition: 0 meV/atom

Cell and atoms, written as extended XYZ:
```
10
Lattice="3.5921 -5.6611 0.0000 3.5921 5.6611 0.0000 0.0000 0.0000 7.2049" Properties=species:S:1:pos:R:3 pbc="T T T"
Cs 3.5921 2.9635 5.4036
Cs 3.5921 -2.9635 1.8012
Hg 3.5921 4.2930 1.8012
Hg 1.9747 0.0000 0.0000
Hg 1.9747 0.0000 3.6024
Hg 5.2096 0.0000 0.0000
Hg 5.2096 0.0000 3.6024
Hg 3.5921 -4.2930 5.4036
Au 3.5921 1.5218 1.8012
Au 3.5921 -1.5218 5.4036
```

Record 4
DFT (meta-GGA SCAN) results for a PBEsol-optimized structure of YHg8.

Computed properties:
- Calculated total energy: -4.696 Ry/atom

Cell and atoms, written as extended XYZ:
```
9
Lattice="-4.8612 4.8612 2.1629 4.8612 -4.8612 2.1629 4.8612 4.8612 -2.1629" Properties=species:S:1:pos:R:3 pbc="T T T"
Y 0.0000 0.0000 0.0000
Hg 3.2506 0.0000 0.0000
Hg 6.4717 0.0000 0.0000
Hg 3.2287 3.2287 0.0000
Hg 1.6325 -1.6325 2.1629
Hg 0.0000 3.2506 0.0000
Hg 0.0000 6.4717 0.0000
Hg -1.6325 1.6325 2.1629
Hg 1.6325 1.6325 2.1629
```

Record 5
DFT (meta-GGA SCAN) results for a PBEsol-optimized structure of TlNF2.

Computed properties:
- ΔE_f (raw): -0.0487 eV/atom

Cell and atoms, written as extended XYZ:
```
4
Lattice="0.0000 2.9321 2.9321 2.9321 0.0000 2.9321 2.9321 2.9321 0.0000" Properties=species:S:1:pos:R:3 pbc="T T T"
Tl 0.0000 0.0000 0.0000
N 2.9321 2.9321 2.9321
F 1.4661 1.4661 1.4661
F 4.3982 4.3982 4.3982
```

Record 6
DFT (meta-GGA SCAN) results for a PBEsol-optimized structure of YSc2Ag.

Computed properties:
- Energy relative to the lowest polymorph listed for this composition: 51 meV/atom

Cell and atoms, written as extended XYZ:
```
4
Lattice="3.4136 0.0000 0.0000 0.0000 3.4136 0.0000 0.0000 0.0000 7.9409" Properties=species:S:1:pos:R:3 pbc="T T T"
Y 0.0000 0.0000 0.0000
Sc 1.7068 1.7068 2.3220
Sc 1.7068 1.7068 5.6189
Ag 0.0000 0.0000 3.9704
```

Record 7
DFT (meta-GGA SCAN) results for a PBEsol-optimized structure of TaSiAsBr2.

Computed properties:
- ΔE_f (raw): 0.6157 eV/atom
- Energy relative to the lowest polymorph listed for this composition: 0 meV/atom

Cell and atoms, written as extended XYZ:
```
5
Lattice="4.9664 0.0000 0.0000 0.0000 4.9664 0.0000 0.0000 0.0000 5.1136" Properties=species:S:1:pos:R:3 pbc="T T T"
Ta 0.0000 0.0000 0.0000
Si 2.4832 2.4832 2.5568
As 0.0000 0.0000 2.5568
Br 0.0000 2.4832 0.0000
Br 2.4832 0.0000 0.0000
```

Record 8
DFT (meta-GGA SCAN) results for a PBEsol-optimized structure of BeAu2N.

Computed properties:
- ΔE_f (raw): 0.8179 eV/atom

Cell and atoms, written as extended XYZ:
```
8
Lattice="-2.0582 2.0582 6.7157 2.0582 -2.0582 6.7157 2.0582 2.0582 -6.7157" Properties=species:S:1:pos:R:3 pbc="T T T"
Be 0.0000 0.0000 0.0000
Be 0.0000 2.0582 3.3578
Au 1.0291 -0.9260 5.0368
Au 1.1323 1.0291 1.6789
Au 1.0291 2.9842 -1.6789
Au 0.9260 1.0291 8.3946
N 2.0582 0.0000 3.3578
N 0.0000 0.0000 6.7157
```

Record 9
DFT (meta-GGA SCAN) results for a PBEsol-optimized structure of Sb2TeIrI.

Computed properties:
- ΔE_f (raw): 0.4223 eV/atom
- Energy relative to the lowest polymorph listed for this composition: 0 meV/atom

Cell and atoms, written as extended XYZ:
```
5
Lattice="5.1044 0.0000 0.0000 0.0000 5.1044 0.0000 0.0000 0.0000 5.4589" Properties=species:S:1:pos:R:3 pbc="T T T"
Sb 0.0000 2.5522 0.0000
Sb 2.5522 0.0000 0.0000
Te 0.0000 0.0000 2.7294
Ir 0.0000 0.0000 0.0000
I 2.5522 2.5522 2.7294
```

Record 10
DFT (meta-GGA SCAN) results for a PBEsol-optimized structure of Ru2PtBr.

Computed properties:
- ΔE_f (raw): 0.5337 eV/atom
- Energy relative to the lowest polymorph listed for this composition: 0 meV/atom

Cell and atoms, written as extended XYZ:
```
4
Lattice="2.8057 0.0000 0.0000 0.0000 2.8057 0.0000 0.0000 0.0000 8.0186" Properties=species:S:1:pos:R:3 pbc="T T T"
Ru 0.0000 0.0000 0.0000
Ru 1.4029 1.4029 1.6274
Pt 1.4029 1.4029 6.1307
Br 0.0000 0.0000 3.5271
```

Record 11
DFT (meta-GGA SCAN) results for a PBEsol-optimized structure of Pr3Rh4Pb13.

Computed properties:
- Calculated total energy: -4.626 Ry/atom

Cell and atoms, written as extended XYZ:
```
40
Lattice="9.9655 0.0000 0.0000 0.0000 9.9655 0.0000 0.0000 0.0000 9.9655" Properties=species:S:1:pos:R:3 pbc="T T T"
Pr 0.0000 2.4914 4.9827
Pr 0.0000 7.4741 4.9827
Pr 2.4914 4.9827 0.0000
Pr 4.9827 0.0000 2.4914
Pr 4.9827 0.0000 7.4741
Pr 7.4741 4.9827 0.0000
Rh 2.4914 2.4914 2.4914
Rh 2.4914 2.4914 7.4741
Rh 2.4914 7.4741 2.4914
Rh 2.4914 7.4741 7.4741
Rh 7.4741 2.4914 2.4914
Rh 7.4741 2.4914 7.4741
Rh 7.4741 7.4741 2.4914
Rh 7.4741 7.4741 7.4741
Pb 0.0000 0.0000 0.0000
Pb 0.0000 3.0628 1.5395
Pb 0.0000 3.0628 8.4259
Pb 0.0000 6.9026 1.5395
Pb 0.0000 6.9026 8.4259
Pb 1.5395 0.0000 3.0628
Pb 1.5395 0.0000 6.9026
Pb 1.9199 4.9827 3.4432
Pb 1.9199 4.9827 6.5223
Pb 3.0628 1.5395 0.0000
Pb 3.0628 8.4259 0.0000
Pb 3.4432 1.9199 4.9827
Pb 3.4432 8.0456 4.9827
Pb 4.9827 3.4432 1.9199
Pb 4.9827 3.4432 8.0456
Pb 4.9827 4.9827 4.9827
Pb 4.9827 6.5223 1.9199
Pb 4.9827 6.5223 8.0456
Pb 6.5223 1.9199 4.9827
Pb 6.5223 8.0456 4.9827
Pb 6.9026 1.5395 0.0000
Pb 6.9026 8.4259 0.0000
Pb 8.0456 4.9827 3.4432
Pb 8.0456 4.9827 6.5223
Pb 8.4259 0.0000 3.0628
Pb 8.4259 0.0000 6.9026
```

Record 12
DFT (meta-GGA SCAN) results for a PBEsol-optimized structure of SrZnSe3.

Computed properties:
- ΔE_f (raw): 0.2130 eV/atom

Cell and atoms, written as extended XYZ:
```
5
Lattice="5.7855 0.0000 0.0000 0.0000 5.7855 0.0000 0.0000 0.0000 5.7855" Properties=species:S:1:pos:R:3 pbc="T T T"
Sr 0.0000 0.0000 0.0000
Zn 2.8928 2.8928 2.8928
Se 0.0000 0.0000 2.8928
Se 0.0000 2.8928 0.0000
Se 2.8928 0.0000 0.0000
```